(1)
Entry from Alexandria via LeMat-Bulk: an optimized crystal structure of Sr2NiP3 (GGA-PBE).

a = 6.192 Å, b = 6.192 Å, c = 8.034 Å
α = 112.52°, β = 112.52°, γ = 90.35°
Sites, in units of the cell vectors:
Sr: 0.772 0.772 0.000
P: 0.629 0.208 0.836
P: 0.371 0.792 0.164
Sr: 0.228 0.228 0.000
P: 0.169 0.169 0.338
Ni: 0.330 0.330 0.661
P: 0.208 0.629 0.836
P: 0.831 0.831 0.662
Sr: 0.750 0.250 0.500
P: 0.792 0.371 0.164
Sr: 0.250 0.750 0.500
Ni: 0.670 0.670 0.339

## Properties
* energy relative to the elements: -455 kJ/mol of formula units

(2)
Entry from Alexandria via LeMat-Bulk: an optimized crystal structure of Sr2NiP (GGA-PBE).

a = 5.033 Å, b = 5.033 Å, c = 3.880 Å
α = 90.00°, β = 90.00°, γ = 90.00°
Site moments in Bohr magnetons follow the coordinates.
Sites, in units of the cell vectors:
Sr: 0.000 0.500 0.000  0.00
Ni: 0.000 0.000 0.500  0.15
P: 0.500 0.500 0.500  0.02
Sr: 0.500 0.000 0.000  0.00

## Properties
* energy relative to the elements: -115 kJ/mol of formula units
* relative energy among the computed polymorphs: 382 meV/atom

(3)
Entry from Alexandria via LeMat-Bulk: an optimized crystal structure of SrNi12P6 (GGA-PBE).

a = 6.513 Å, b = 6.513 Å, c = 6.513 Å
α = 103.73°, β = 103.73°, γ = 103.73°
Sites, in units of the cell vectors:
Ni: 0.869 0.500 0.131
Ni: 0.500 0.869 0.131
Ni: 0.464 0.464 0.181
P: 0.767 0.337 0.767
P: 0.663 0.233 0.233
Ni: 0.500 0.131 0.869
Ni: 0.131 0.500 0.869
Ni: 0.536 0.819 0.536
P: 0.233 0.663 0.233
Ni: 0.819 0.536 0.536
Ni: 0.181 0.464 0.464
P: 0.767 0.767 0.337
Ni: 0.869 0.131 0.500
Ni: 0.464 0.181 0.464
P: 0.337 0.767 0.767
Ni: 0.536 0.536 0.819
P: 0.233 0.233 0.663
Ni: 0.131 0.869 0.500
Sr: 0.000 0.000 0.000

## Properties
* energy relative to the elements: -968 kJ/mol of formula units

(4)
Entry from Alexandria via LeMat-Bulk: an optimized crystal structure of Sr2NiP (GGA-PBE).

a = 6.116 Å, b = 6.116 Å, c = 6.116 Å
α = 138.61°, β = 138.61°, γ = 59.97°
Sites, in units of the cell vectors:
Sr: 0.250 0.750 0.500
P: 0.750 0.250 0.500
Ni: 0.500 0.500 0.000
Sr: 0.000 0.000 0.000

## Properties
* energy relative to the elements: -53 kJ/mol of formula units
* relative energy among the computed polymorphs: 542 meV/atom

(5)
Entry from Alexandria via LeMat-Bulk: an optimized crystal structure of SrNi6P3 (GGA-PBE).

a = 6.557 Å, b = 7.269 Å, c = 6.645 Å
α = 93.63°, β = 90.00°, γ = 90.00°
Sites, in units of the cell vectors:
Ni: 0.797 0.717 0.205
P: 0.506 0.752 0.019
Ni: 0.045 0.478 0.321
Sr: 0.000 0.000 0.000
Sr: 0.500 0.500 0.500
Ni: 0.203 0.283 0.795
Ni: 0.678 0.493 0.947
P: 0.494 0.248 0.981
Ni: 0.322 0.507 0.053
Ni: 0.455 0.978 0.821
Ni: 0.297 0.783 0.295
Ni: 0.703 0.217 0.705
Ni: 0.178 0.007 0.553
P: 0.500 0.000 0.500
Ni: 0.955 0.522 0.679
P: 0.994 0.252 0.519
P: 0.000 0.500 0.000
Ni: 0.822 0.993 0.447
P: 0.006 0.748 0.481
Ni: 0.545 0.022 0.179

## Properties
* energy relative to the elements: -475 kJ/mol of formula units

(6)
Entry from Alexandria via LeMat-Bulk: an optimized crystal structure of SrNi4P2 (GGA-PBE).

a = 3.948 Å, b = 3.942 Å, c = 7.121 Å
α = 106.07°, β = 90.00°, γ = 90.00°
Sites, in units of the cell vectors:
Ni: 0.000 0.692 0.384
P: 0.500 0.622 0.244
P: 0.500 0.378 0.756
Sr: 0.000 0.000 0.000
Ni: 0.500 0.808 0.615
Ni: 0.000 0.308 0.616
Ni: 0.500 0.192 0.385

## Properties
* energy relative to the elements: -402 kJ/mol of formula units

(7)
Entry from Alexandria via LeMat-Bulk: an optimized crystal structure of SrNiP3 (GGA-PBE).

a = 4.591 Å, b = 4.591 Å, c = 4.591 Å
α = 90.00°, β = 90.00°, γ = 90.00°
Sites, in units of the cell vectors:
P: 0.000 0.500 0.000
P: 0.500 0.000 0.000
Ni: 0.000 0.000 0.000
Sr: 0.500 0.500 0.500
P: 0.000 0.000 0.500

## Properties
* energy relative to the elements: -39 kJ/mol of formula units
* relative energy among the computed polymorphs: 0 meV/atom

(8)
Entry from Alexandria via LeMat-Bulk: an optimized crystal structure of Sr2NiP (GGA-PBE).

a = 5.046 Å, b = 5.046 Å, c = 5.046 Å
α = 60.00°, β = 60.00°, γ = 60.00°
Sites, in units of the cell vectors:
P: 0.250 0.250 0.250
Sr: 0.000 0.000 0.000
Ni: 0.500 0.500 0.500
Sr: 0.750 0.750 0.750

## Properties
* energy relative to the elements: 38 kJ/mol of formula units
* relative energy among the computed polymorphs: 779 meV/atom

- What is the energy relative to the elements in the sixth record?
  -402 kJ/mol of formula units